Entry 1:
Density functional theory data (PBE) for a relaxed structure of Y6Mn14Fe9.

## Properties
Formation energy from the elements   2.3 kJ/mol of atoms
N(E_F)   38.046 states/eV/cell
DFT total energy   -242.64 eV/f.u.

Cell lengths 8.4266, 8.4266, 8.4266 Å; angles 60.00, 60.00, 60.00 degrees
Last column: nearest neighbours and their distance in Å.
Fractional positions:
Y (0.7041, 0.7041, 0.2959)  8 Mn 2.92-3.03, 4 Fe 3.04
Y (0.2959, 0.7041, 0.2959)  8 Mn 2.92-3.03, 4 Fe 3.04
Y (0.7041, 0.2959, 0.2959)  8 Mn 2.92-3.03, 4 Fe 3.04
Y (0.2959, 0.2959, 0.7041)  8 Mn 2.92-3.03, 4 Fe 3.04
Y (0.7041, 0.2959, 0.7041)  8 Mn 2.92-3.03, 4 Fe 3.04
Y (0.2959, 0.7041, 0.7041)  8 Mn 2.92-3.03, 4 Fe 3.04
Mn (0.0000, 0.0000, 0.5000)  4 Fe 2.45, 4 Mn 2.60
Mn (0.5000, 0.0000, 0.5000)  4 Fe 2.45, 4 Mn 2.60
Mn (0.0000, 0.5000, 0.5000)  4 Fe 2.45, 4 Mn 2.60
Mn (0.5000, 0.5000, 0.0000)  4 Fe 2.45, 4 Mn 2.60
Mn (0.0000, 0.5000, 0.0000)  4 Fe 2.45, 4 Mn 2.60
Mn (0.5000, 0.0000, 0.0000)  4 Fe 2.45, 4 Mn 2.60
Mn (0.8781, 0.8781, 0.3657)  4 Fe 2.52-2.56, 3 Mn 2.60
Mn (0.8781, 0.3657, 0.8781)  4 Fe 2.52-2.56, 3 Mn 2.60
Mn (0.3657, 0.8781, 0.8781)  4 Fe 2.52-2.56, 3 Mn 2.60
Mn (0.8781, 0.8781, 0.8781)  4 Fe 2.52-2.56, 3 Mn 2.60
Mn (0.1219, 0.1219, 0.6343)  4 Fe 2.52-2.56, 3 Mn 2.60
Mn (0.1219, 0.6343, 0.1219)  4 Fe 2.52-2.56, 3 Mn 2.60
Mn (0.6343, 0.1219, 0.1219)  4 Fe 2.52-2.56, 3 Mn 2.60
Mn (0.1219, 0.1219, 0.1219)  4 Fe 2.52-2.56, 3 Mn 2.60
Fe (0.0000, 0.0000, 0.0000)  8 Mn 2.52
Fe (0.6796, 0.6796, 0.9611)  3 Fe 2.37, 6 Mn 2.45-2.56
Fe (0.6796, 0.9611, 0.6796)  3 Fe 2.37, 6 Mn 2.45-2.56
Fe (0.9611, 0.6796, 0.6796)  3 Fe 2.37, 6 Mn 2.45-2.56
Fe (0.6796, 0.6796, 0.6796)  3 Fe 2.37, 6 Mn 2.45-2.56
Fe (0.3204, 0.3204, 0.0389)  3 Fe 2.37, 6 Mn 2.45-2.56
Fe (0.3204, 0.0389, 0.3204)  3 Fe 2.37, 6 Mn 2.45-2.56
Fe (0.0389, 0.3204, 0.3204)  3 Fe 2.37, 6 Mn 2.45-2.56
Fe (0.3204, 0.3204, 0.3204)  3 Fe 2.37, 6 Mn 2.45-2.56


Entry 2:
Density functional theory data (PBE) for a relaxed structure of Y2MnFe.

## Properties
Formation energy from the elements   19.6 kJ/mol of atoms
N(E_F)   6.761 states/eV/cell
DFT total energy   -29.75 eV/f.u.

Cell lengths 3.4333, 3.4833, 7.8253 Å; angles 63.67, 90.00, 90.00 degrees
Last column: nearest neighbours and their distance in Å.
Fractional positions:
Fe (0.5000, 0.2500, 0.2500)  8 Y 2.95-2.96
Mn (0.5000, 0.7500, 0.7500)  8 Y 3.07, 2 Mn 3.43
Y (0.0000, 0.9865, 0.0139)  4 Fe 2.95-2.96, 4 Mn 3.07
Y (0.0000, 0.5135, 0.4861)  4 Fe 2.95-2.96, 4 Mn 3.07


Entry 3:
Density functional theory data (PBE) for a relaxed structure of Y2MnFe2.

## Properties
Formation energy from the elements   41.6 kJ/mol of atoms
N(E_F)   5.732 states/eV/cell
DFT total energy   -36.87 eV/f.u.

Cell lengths 5.3687, 5.3687, 5.2770 Å; angles 59.42, 59.42, 90.00 degrees
Last column: nearest neighbours and their distance in Å.
Fractional positions:
Y (0.7500, 0.2500, 0.5000)  4 Fe 2.77
Y (0.2500, 0.7500, 0.5000)  4 Fe 2.77
Mn (0.0000, 0.0000, 0.0000)  2 Fe 2.54
Fe (0.3459, 0.3459, 0.3082)  1 Fe 2.26
Fe (0.6541, 0.6541, 0.6918)  1 Fe 2.26


Entry 4:
Density functional theory data (PBE) for a relaxed structure of Y2MnFe.

## Properties
Formation energy from the elements   10.1 kJ/mol of atoms
N(E_F)   4.234 states/eV/cell
DFT total energy   -30.14 eV/f.u.

Cell lengths 4.2096, 3.8584, 5.6942 Å; angles 70.20, 90.00, 90.00 degrees
Last column: nearest neighbours and their distance in Å.
Fractional positions:
Fe (0.0000, 0.6843, 0.5059)  2 Mn 2.47
Mn (0.5000, 0.5647, 0.7457)  2 Fe 2.47
Y (0.0000, 0.9827, 0.9102)  3 Fe 2.90-3.19, 4 Mn 2.99
Y (0.5000, 0.2683, 0.3382)  3 Mn 2.91-3.17, 4 Fe 2.99


Entry 5:
Density functional theory data (PBE) for a relaxed structure of Y2MnFe2.

## Properties
Formation energy from the elements   41.9 kJ/mol of atoms
N(E_F)   11.139 states/eV/cell
DFT total energy   -36.85 eV/f.u.

Cell lengths 3.2396, 3.2396, 9.2784 Å; angles 79.95, 79.95, 90.00 degrees
Last column: nearest neighbours and their distance in Å.
Fractional positions:
Y (0.3883, 0.3883, 0.2234)  4 Fe 2.97, 4 Mn 3.05, 4 Y 3.24
Y (0.6117, 0.6117, 0.7766)  4 Fe 2.97, 4 Mn 3.05, 4 Y 3.24
Mn (0.0000, 0.0000, 0.0000)  8 Y 3.05, 4 Mn 3.24
Fe (0.7500, 0.2500, 0.5000)  4 Fe 2.29
Fe (0.2500, 0.7500, 0.5000)  4 Fe 2.29


Entry 6:
Density functional theory data (PBE) for a relaxed structure of YMn2Fe2.

## Properties
Formation energy from the elements   36.2 kJ/mol of atoms
N(E_F)   16.814 states/eV/cell
DFT total energy   -39.85 eV/f.u.

Cell lengths 7.1482, 7.1482, 2.6057 Å; angles 90.00, 90.00, 90.00 degrees
Last column: nearest neighbours and their distance in Å.
Fractional positions:
Y (0.0000, 0.0000, 0.0000)  2 Y 2.61, 4 Fe 2.84
Y (0.5000, 0.5000, 0.0000)  2 Y 2.61, 4 Fe 2.84
Mn (0.1616, 0.6616, 0.5000)  6 Fe 2.42-2.55, 2 Mn 2.61
Mn (0.6616, 0.8384, 0.5000)  6 Fe 2.42-2.55, 2 Mn 2.61
Mn (0.8384, 0.3384, 0.5000)  6 Fe 2.42-2.55, 2 Mn 2.61
Mn (0.3384, 0.1616, 0.5000)  6 Fe 2.42-2.55, 2 Mn 2.61
Fe (0.3785, 0.8785, 0.0000)  6 Mn 2.42-2.55, 3 Fe 2.46-2.61
Fe (0.8785, 0.6215, 0.0000)  6 Mn 2.42-2.55, 3 Fe 2.46-2.61
Fe (0.6215, 0.1215, 0.0000)  6 Mn 2.42-2.55, 3 Fe 2.46-2.61
Fe (0.1215, 0.3785, 0.0000)  6 Mn 2.42-2.55, 3 Fe 2.46-2.61


Entry 7:
Density functional theory data (PBE) for a relaxed structure of Y2Mn3Fe.

## Properties
Formation energy from the elements   11.0 kJ/mol of atoms
N(E_F)   7.680 states/eV/cell
DFT total energy   -48.21 eV/f.u.

Cell lengths 5.0827, 5.0827, 5.0827 Å; angles 62.71, 62.71, 62.71 degrees
Last column: nearest neighbours and their distance in Å.
Fractional positions:
Y (0.6268, 0.6268, 0.6268)  9 Mn 2.94-3.06, 4 Y 3.09-3.20, 3 Fe 3.09
Y (0.3732, 0.3732, 0.3732)  9 Mn 2.94-3.06, 4 Y 3.09-3.20, 3 Fe 3.09
Mn (0.5000, 0.0000, 0.0000)  2 Fe 2.54, 4 Mn 2.64
Mn (0.0000, 0.5000, 0.0000)  2 Fe 2.54, 4 Mn 2.64
Mn (0.0000, 0.0000, 0.5000)  2 Fe 2.54, 4 Mn 2.64
Fe (0.0000, 0.0000, 0.0000)  6 Mn 2.54


Entry 8:
Density functional theory data (PBE) for a relaxed structure of YMn2Fe2.

## Properties
Formation energy from the elements   7.6 kJ/mol of atoms
N(E_F)   6.728 states/eV/cell
DFT total energy   -41.33 eV/f.u.

Cell lengths 3.9256, 3.9256, 5.4568 Å; angles 68.92, 68.92, 90.00 degrees
Last column: nearest neighbours and their distance in Å.
Fractional positions:
Y (0.0000, 0.0000, 0.0000)  8 Fe 3.01, 8 Mn 3.06
Mn (0.7500, 0.2500, 0.5000)  4 Fe 2.29
Mn (0.2500, 0.7500, 0.5000)  4 Fe 2.29
Fe (0.3748, 0.3748, 0.2503)  4 Mn 2.29, 1 Fe 2.35
Fe (0.6252, 0.6252, 0.7497)  4 Mn 2.29, 1 Fe 2.35